No. 1
DFT (PBE) results for Ni3PdI8 after structural relaxation.

Properties
Its crystal system is monoclinic. As for the energy relative to the elements, uncorrected: -0.08 eV per atom. The space group is C2/m, No. 12.

Cell: 7.9647 7.9522 8.4445 Å, 118.22 90.00 120.05°
Fractional coordinates of all 12 atoms:
I1 0.7276 0.9720 0.2150
I2 0.2430 0.4859 0.2139
I3 0.2607 0.5215 0.7836
I4 0.7393 0.4785 0.2164
I5 0.7570 0.5141 0.7861
I6 0.2444 0.9720 0.2150
I7 0.2724 0.0280 0.7850
I8 0.7556 0.0280 0.7850
Pd1 0.0000 0.0000 0.0000
Ni1 0.5000 0.0000 0.0000
Ni2 0.0000 0.5000 0.0000
Ni3 0.5000 0.5000 0.0000

***

No. 2
DFT (PBE) results for NiPdI3 after structural relaxation.

Properties
Its crystal system is cubic. As for the energy relative to the elements, uncorrected: 0.51 eV per atom. As for the polymorph energy (0 for the lowest one): 544 meV per atom. The space group is Pm-3m, No. 221.

Cell: 5.2719 5.2719 5.2719 Å, 90.00 90.00 90.00°
Fractional coordinates of all 5 atoms:
Ni1 0.0000 0.0000 0.0000
I1 0.5000 0.0000 0.0000
I2 0.0000 0.0000 0.5000
I3 0.0000 0.5000 0.0000
Pd1 0.5000 0.5000 0.5000

***

No. 3
DFT (PBE) results for Ni2PdI6 after structural relaxation.

Properties
Its crystal system is monoclinic. As for the energy relative to the elements, uncorrected: -0.07 eV per atom. The space group is C2/m, No. 12.

Cell: 3.9883 8.3830 9.5019 Å, 107.37 102.11 90.00°
Fractional coordinates of all 9 atoms:
I1 0.9869 0.7554 0.9738
I2 0.6776 0.5668 0.3552
I3 0.3224 0.4332 0.6448
I4 0.6606 0.1071 0.3212
I5 0.0131 0.2446 0.0262
I6 0.3394 0.8929 0.6788
Pd1 0.5000 0.0000 0.0000
Ni1 0.1680 0.3364 0.3361
Ni2 0.8320 0.6636 0.6639

***

No. 4
DFT (PBE) results for NiPd3I after structural relaxation.

Properties
Its crystal system is cubic. As for the energy relative to the elements, uncorrected: 0.67 eV per atom. As for the polymorph energy (0 for the lowest one): 0 meV per atom. The space group is Pm-3m, No. 221.

Cell: 4.6741 4.6741 4.6741 Å, 90.00 90.00 90.00°
Fractional coordinates of all 5 atoms:
Pd1 0.0000 0.5000 0.0000
Pd2 0.0000 0.0000 0.5000
Pd3 0.5000 0.0000 0.0000
I1 0.5000 0.5000 0.5000
Ni1 0.0000 0.0000 0.0000

***

No. 5
DFT (PBE) results for Ni5PdI12 after structural relaxation.

Properties
Its crystal system is monoclinic. As for the energy relative to the elements, uncorrected: -0.08 eV per atom. The space group is C2/m, No. 12.

Cell: 6.8942 6.8975 14.6404 Å, 89.95 89.90 60.02°
Fractional coordinates of all 18 atoms:
Ni1 0.1666 0.6667 0.5000
Ni2 0.6667 0.6667 0.0000
Ni3 0.8334 0.3333 0.5000
Ni4 0.3333 0.3333 0.0000
Ni5 0.5000 0.0000 0.5000
I1 0.4997 0.3333 0.6023
I2 0.9997 0.6564 0.1047
I3 0.3435 0.0000 0.1047
I4 0.5003 0.6667 0.3977
I5 0.6561 0.3436 0.1047
I6 0.3439 0.6564 0.8953
I7 0.0003 0.3436 0.8953
I8 0.1663 0.0000 0.6023
I9 0.8330 0.6667 0.6023
I10 0.8337 0.0000 0.3977
I11 0.6565 0.0000 0.8953
I12 0.1670 0.3333 0.3977
Pd1 0.0000 0.0000 0.0000

***

No. 6
DFT (PBE) results for NiPd5I12 after structural relaxation.

Properties
Its crystal system is monoclinic. As for the energy relative to the elements, uncorrected: -0.18 eV per atom. The space group is C2/m, No. 12.

Cell: 9.9855 7.6327 13.5425 Å, 78.64 72.48 49.15°
Fractional coordinates of all 18 atoms:
I1 0.0278 0.6833 0.1165
I2 0.0216 0.0000 0.6263
I3 0.6348 0.0000 0.8799
I4 0.9784 0.0000 0.3737
I5 0.3123 0.3334 0.3733
I6 0.9722 0.3167 0.8835
I7 0.6877 0.6666 0.6267
I8 0.3543 0.3334 0.6267
I9 0.7111 0.3167 0.1165
I10 0.6457 0.6666 0.3733
I11 0.2889 0.6833 0.8835
I12 0.3652 0.0000 0.1201
Pd1 0.3306 0.3388 0.0000
Pd2 0.6694 0.6612 0.0000
Pd3 0.1667 0.6666 0.5000
Pd4 0.5000 0.0000 0.5000
Pd5 0.8333 0.3335 0.5000
Ni1 0.0000 0.0000 0.0000

***

No. 7
DFT (PBE) results for NiPdI3 after structural relaxation.

Properties
Its crystal system is orthorhombic. As for the energy relative to the elements, uncorrected: -0.03 eV per atom. As for the polymorph energy (0 for the lowest one): 0 meV per atom. The space group is Cmc2_1, No. 36.

Cell: 4.1591 6.7511 11.0728 Å, 90.00 100.82 90.00°
Fractional coordinates of all 10 atoms:
I1 0.7754 0.7466 0.5508
I2 0.5670 0.3035 0.1341
I3 0.2246 0.2466 0.4492
I4 0.1188 0.8000 0.2376
I5 0.8812 0.3000 0.7624
I6 0.4330 0.8035 0.8659
Pd1 0.6705 0.0188 0.3410
Pd2 0.3295 0.5188 0.6590
Ni1 0.8794 0.9253 0.7589
Ni2 0.1206 0.4253 0.2411

***

No. 8
DFT (PBE) results for Ni5Pd3I12 after structural relaxation.

Properties
Its crystal system is cubic. As for the energy relative to the elements, uncorrected: 0.12 eV per atom. The space group is Ia-3d, No. 230.

Cell: 14.6488 14.6488 14.6488 Å, 109.47 109.47 109.47°
Fractional coordinates of all 80 atoms:
I1 0.8224 0.3351 0.9671
I2 0.3680 0.3553 0.5329
I3 0.1649 0.1320 0.9873
I4 0.3351 0.8224 0.4671
I5 0.8351 0.8680 0.0127
I6 0.3224 0.8553 0.9873
I7 0.9671 0.8351 0.8224
I8 0.3680 0.0127 0.3351
I9 0.5329 0.8553 0.3680
I10 0.5127 0.1776 0.1447
I11 0.8553 0.5329 0.8680
I12 0.5127 0.3351 0.8680
I13 0.0127 0.3680 0.8351
I14 0.3224 0.4671 0.8351
I15 0.6320 0.9873 0.6649
I16 0.4873 0.8224 0.8553
I17 0.3351 0.5127 0.3680
I18 0.6649 0.4873 0.6320
I19 0.8680 0.8351 0.5127
I20 0.8224 0.4873 0.3553
I21 0.9873 0.3553 0.3224
I22 0.1447 0.6776 0.5127
I23 0.0127 0.6447 0.6776
I24 0.9671 0.1320 0.6447
I25 0.6776 0.5329 0.1649
I26 0.0329 0.8680 0.3553
I27 0.1776 0.5127 0.6447
I28 0.5329 0.6776 0.6649
I29 0.8553 0.3224 0.4873
I30 0.8351 0.9671 0.3224
I31 0.6447 0.0127 0.1776
I32 0.1320 0.9671 0.1447
I33 0.6320 0.6447 0.4671
I34 0.1776 0.6649 0.0329
I35 0.1649 0.0329 0.6776
I36 0.6776 0.1447 0.0127
I37 0.6649 0.1776 0.5329
I38 0.1447 0.4671 0.1320
I39 0.8680 0.0329 0.8553
I40 0.3553 0.9873 0.8224
I41 0.9873 0.6320 0.1649
I42 0.4873 0.6649 0.1320
I43 0.0329 0.1649 0.1776
I44 0.3553 0.3680 0.0329
I45 0.1320 0.1649 0.4873
I46 0.4671 0.3224 0.3351
I47 0.4671 0.1447 0.6320
I48 0.6447 0.6320 0.9671
Ni1 0.7500 0.1250 0.8750
Ni2 0.2500 0.3750 0.6250
Ni3 0.0000 0.0000 0.5000
Ni4 0.7500 0.6250 0.3750
Ni5 0.6250 0.8750 0.2500
Ni6 0.5000 0.5000 0.5000
Ni7 0.1250 0.7500 0.3750
Ni8 0.0000 0.5000 0.5000
Ni9 0.5000 0.5000 0.0000
Ni10 0.2500 0.8750 0.1250
Ni11 0.6250 0.7500 0.8750
Ni12 0.3750 0.2500 0.1250
Ni13 0.0000 0.0000 0.0000
Ni14 0.5000 0.0000 0.0000
Ni15 0.8750 0.2500 0.6250
Ni16 0.0000 0.5000 0.0000
Ni17 0.5000 0.0000 0.5000
Ni18 0.3750 0.1250 0.7500
Ni19 0.1250 0.3750 0.2500
Ni20 0.8750 0.6250 0.7500
Pd1 0.8750 0.7500 0.1250
Pd2 0.7500 0.3750 0.1250
Pd3 0.6250 0.3750 0.7500
Pd4 0.7500 0.8750 0.6250
Pd5 0.1250 0.8750 0.7500
Pd6 0.2500 0.1250 0.3750
Pd7 0.3750 0.6250 0.2500
Pd8 0.3750 0.7500 0.6250
Pd9 0.6250 0.2500 0.3750
Pd10 0.2500 0.6250 0.8750
Pd11 0.1250 0.2500 0.8750
Pd12 0.8750 0.1250 0.2500

***

No. 9
DFT (PBE) results for Ni3Pd5I12 after structural relaxation.

Properties
Its crystal system is cubic. As for the energy relative to the elements, uncorrected: 0.10 eV per atom. The space group is Ia-3d, No. 230.

Cell: 14.8693 14.8693 14.8693 Å, 109.47 109.47 109.47°
Fractional coordinates of all 80 atoms:
I1 0.8162 0.8519 0.4851
I2 0.5357 0.3668 0.3519
I3 0.5357 0.1689 0.6838
I4 0.0149 0.3311 0.3668
I5 0.5149 0.6481 0.1838
I6 0.3162 0.9851 0.3519
I7 0.1838 0.1481 0.5149
I8 0.1689 0.5357 0.1838
I9 0.8162 0.9643 0.8311
I10 0.8668 0.5149 0.3311
I11 0.6838 0.0149 0.6481
I12 0.4851 0.1332 0.1689
I13 0.1481 0.1838 0.0149
I14 0.3668 0.5357 0.8519
I15 0.3519 0.8668 0.5357
I16 0.9643 0.1481 0.1332
I17 0.9851 0.6689 0.6332
I18 0.5149 0.8668 0.8311
I19 0.0357 0.8519 0.8668
I20 0.3162 0.3311 0.4643
I21 0.8519 0.8162 0.9851
I22 0.8311 0.4643 0.8162
I23 0.1332 0.6481 0.9643
I24 0.1689 0.6332 0.4851
I25 0.6332 0.1689 0.9851
I26 0.6481 0.1332 0.4643
I27 0.8668 0.3519 0.0357
I28 0.6689 0.6838 0.0357
I29 0.6838 0.6689 0.5357
I30 0.3519 0.4851 0.3162
I31 0.6481 0.5149 0.6838
I32 0.3311 0.3162 0.9643
I33 0.8519 0.0357 0.3668
I34 0.4851 0.3519 0.8162
I35 0.1332 0.4851 0.6689
I36 0.6332 0.4643 0.1481
I37 0.9643 0.8162 0.3311
I38 0.8311 0.3668 0.5149
I39 0.0149 0.6838 0.1481
I40 0.3668 0.8311 0.0149
I41 0.4643 0.8311 0.3162
I42 0.6689 0.9851 0.1332
I43 0.0357 0.1838 0.6689
I44 0.1838 0.0357 0.1689
I45 0.3311 0.0149 0.8668
I46 0.4643 0.6332 0.6481
I47 0.9851 0.3162 0.8519
I48 0.1481 0.9643 0.6332
Pd1 0.1250 0.3750 0.2500
Pd2 0.6250 0.7500 0.8750
Pd3 0.0000 0.5000 0.0000
Pd4 0.7500 0.6250 0.3750
Pd5 0.5000 0.5000 0.0000
Pd6 0.0000 0.0000 0.0000
Pd7 0.2500 0.8750 0.1250
Pd8 0.0000 0.0000 0.5000
Pd9 0.7500 0.1250 0.8750
Pd10 0.2500 0.3750 0.6250
Pd11 0.5000 0.0000 0.0000
Pd12 0.8750 0.6250 0.7500
Pd13 0.1250 0.7500 0.3750
Pd14 0.6250 0.8750 0.2500
Pd15 0.8750 0.2500 0.6250
Pd16 0.5000 0.5000 0.5000
Pd17 0.5000 0.0000 0.5000
Pd18 0.0000 0.5000 0.5000
Pd19 0.3750 0.2500 0.1250
Pd20 0.3750 0.1250 0.7500
Ni1 0.1250 0.8750 0.7500
Ni2 0.6250 0.3750 0.7500
Ni3 0.6250 0.2500 0.3750
Ni4 0.8750 0.7500 0.1250
Ni5 0.7500 0.3750 0.1250
Ni6 0.3750 0.7500 0.6250
Ni7 0.2500 0.6250 0.8750
Ni8 0.3750 0.6250 0.2500
Ni9 0.2500 0.1250 0.3750
Ni10 0.7500 0.8750 0.6250
Ni11 0.1250 0.2500 0.8750
Ni12 0.8750 0.1250 0.2500

***

No. 10
DFT (PBE) results for Pm6Ni2PdI3 after structural relaxation.

Properties
Its crystal system is monoclinic. As for the energy relative to the elements, uncorrected: -0.74 eV per atom. The space group is C2/m, No. 12.

Cell: 7.2194 7.2194 8.3725 Å, 98.26 98.26 120.03°
Fractional coordinates of all 12 atoms:
Pm1 0.5921 0.9390 0.8169
Pm2 0.4079 0.0610 0.1831
Pm3 0.9390 0.5921 0.8169
Pm4 0.0610 0.4079 0.1831
Pm5 0.2861 0.2861 0.8174
Pm6 0.7139 0.7139 0.1826
Pd1 0.0000 0.0000 0.0000
I1 0.8337 0.1663 0.5000
I2 0.5000 0.5000 0.5000
I3 0.1663 0.8337 0.5000
Ni1 0.3333 0.6667 0.0000
Ni2 0.6667 0.3333 0.0000

***

No. 11
DFT (PBE) results for Pr6Ni2PdI3 after structural relaxation.

Properties
Its crystal system is monoclinic. As for the energy relative to the elements, uncorrected: -0.73 eV per atom. The space group is C2/m, No. 12.

Cell: 7.3206 7.3206 8.4899 Å, 98.27 98.27 120.01°
Fractional coordinates of all 12 atoms:
I1 0.5000 0.5000 0.5000
I2 0.8337 0.1663 0.5000
I3 0.1663 0.8337 0.5000
Pr1 0.5922 0.9385 0.8158
Pr2 0.9385 0.5922 0.8158
Pr3 0.7148 0.7148 0.1838
Pr4 0.2852 0.2852 0.8162
Pr5 0.4078 0.0615 0.1842
Pr6 0.0615 0.4078 0.1842
Pd1 0.0000 0.0000 0.0000
Ni1 0.3333 0.6667 0.0000
Ni2 0.6667 0.3333 0.0000

***

No. 12
DFT (PBE) results for NiPdPtI2 after structural relaxation.

Properties
Its crystal system is tetragonal. As for the energy relative to the elements, uncorrected: 1.06 eV per atom. The space group is P4/mmm, No. 123.

Cell: 5.2688 4.6861 5.2688 Å, 90.00 90.00 90.00°
Fractional coordinates of all 5 atoms:
Pd1 0.0000 0.0000 0.0000
I1 0.0000 0.0000 0.5000
I2 0.5000 0.0000 0.0000
Pt1 0.5000 0.5000 0.5000
Ni1 0.0000 0.5000 0.0000

***

Q: Which value of energy relative to the elements, uncorrected does entry 10 give?
A: -0.74 eV per atom

***

Q: What is the formula in the third record?
A: Ni2PdI6